[1]
Density functional theory data (GGA-PBE) for K2InSe after structural relaxation.

Lattice parameters (Å, degrees): 5.7889 5.7889 5.7889 60.00 60.00 60.00
Fractional positions:
K (0.2500, 0.2500, 0.2500)
K (0.7500, 0.7500, 0.7500)
In (0.0000, 0.0000, 0.0000)
Se (0.5000, 0.5000, 0.5000)

Summary:
The total moment comes out at 0.00 μB/f.u. For the total energy, the calculation gives -9.96 eV for the cell shown. The formation energy from raw total energies comes out at -0.3855 eV per atom. The symmetry is Fm-3m.


[2]
Density functional theory data (GGA-PBE) for KIn5Se4 after structural relaxation.

Lattice parameters (Å, degrees): 8.3441 12.0172 6.4942 90.00 90.00 90.00
Fractional positions:
K (0.2500, 0.2500, 0.1480)
K (0.7500, 0.7500, 0.8520)
In (0.0591, 0.5310, 0.2818)
In (0.0591, 0.9690, 0.2818)
In (0.2500, 0.7500, 0.6400)
In (0.4409, 0.5310, 0.2818)
In (0.4409, 0.9690, 0.2818)
In (0.5591, 0.0310, 0.7182)
In (0.5591, 0.4690, 0.7182)
In (0.7500, 0.2500, 0.3600)
In (0.9409, 0.0310, 0.7182)
In (0.9409, 0.4690, 0.7182)
Se (0.0174, 0.2500, 0.5857)
Se (0.2500, 0.5624, 0.8728)
Se (0.2500, 0.9376, 0.8728)
Se (0.4826, 0.2500, 0.5857)
Se (0.5174, 0.7500, 0.4143)
Se (0.7500, 0.0624, 0.1272)
Se (0.7500, 0.4376, 0.1272)
Se (0.9826, 0.7500, 0.4143)

Summary:
The total moment comes out at 0.00 μB/f.u. For the total energy, the calculation gives -66.05 eV for the cell shown. The formation energy from raw total energies comes out at -0.4297 eV per atom. The symmetry is Pmmn.


[3]
Density functional theory data (GGA-PBE) for KIn3Se after structural relaxation.

Lattice parameters (Å, degrees): 6.0729 6.0729 6.0729 90.00 90.00 90.00
Fractional positions:
K (0.0000, 0.0000, 0.0000)
In (0.0000, 0.0000, 0.5000)
In (0.0000, 0.5000, 0.0000)
In (0.5000, 0.0000, 0.0000)
Se (0.5000, 0.5000, 0.5000)

Summary:
The total moment comes out at 0.00 μB/f.u. For the total energy, the calculation gives -8.83 eV for the cell shown. The formation energy from raw total energies comes out at 0.7934 eV per atom. The symmetry is Pm-3m.


[4]
Density functional theory data (GGA-PBE) for KInSe2 after structural relaxation.

Lattice parameters (Å, degrees): 4.5007 3.8147 7.6614 90.00 98.30 90.00
Fractional positions:
K (0.0000, 0.0000, 0.0000)
In (0.5000, 0.0000, 0.5000)
Se (0.4375, 0.5000, 0.7363)
Se (0.5625, 0.5000, 0.2636)

Summary:
The total moment comes out at 0.00 μB/f.u. For the total energy, the calculation gives -13.60 eV for the cell shown. The formation energy from raw total energies comes out at -0.6978 eV per atom. The symmetry is P2/m.


[5]
Density functional theory data (GGA-PBE) for KInSe2 after structural relaxation.

Lattice parameters (Å, degrees): 3.3368 3.3368 10.6801 90.00 90.00 90.00
Fractional positions:
K (0.0000, 0.0000, 0.0000)
In (0.5000, 0.5000, 0.7183)
Se (0.0000, 0.0000, 0.5544)
Se (0.5000, 0.5000, 0.2134)

Summary:
The total moment comes out at 0.00 μB/f.u. For the total energy, the calculation gives -11.35 eV for the cell shown. The formation energy from raw total energies comes out at -0.1353 eV per atom. The symmetry is P4mm.


[6]
Density functional theory data (GGA-PBE) for K2In12Se19 after structural relaxation.

Lattice parameters (Å, degrees): 10.0966 10.0966 10.0966 88.96 88.96 88.96
Fractional positions:
K (0.1655, 0.1655, 0.1655)
K (0.8345, 0.8345, 0.8345)
In (0.1197, 0.2229, 0.7013)
In (0.1918, 0.5659, 0.5165)
In (0.2229, 0.7013, 0.1197)
In (0.2987, 0.8803, 0.7771)
In (0.4341, 0.4835, 0.8082)
In (0.4835, 0.8082, 0.4341)
In (0.5165, 0.1918, 0.5659)
In (0.5659, 0.5165, 0.1918)
In (0.7013, 0.1197, 0.2229)
In (0.7771, 0.2987, 0.8803)
In (0.8082, 0.4341, 0.4835)
In (0.8803, 0.7771, 0.2987)
Se (0.0259, 0.3405, 0.9083)
Se (0.0917, 0.9741, 0.6595)
Se (0.0958, 0.3378, 0.4634)
Se (0.2191, 0.6252, 0.7687)
Se (0.2313, 0.7809, 0.3748)
Se (0.3378, 0.4634, 0.0958)
Se (0.3405, 0.9083, 0.0259)
Se (0.3748, 0.2313, 0.7809)
Se (0.4634, 0.0958, 0.3378)
Se (0.5000, 0.5000, 0.5000)
Se (0.5366, 0.9042, 0.6622)
Se (0.6252, 0.7687, 0.2191)
Se (0.6595, 0.0917, 0.9741)
Se (0.6622, 0.5366, 0.9042)
Se (0.7687, 0.2191, 0.6252)
Se (0.7809, 0.3748, 0.2313)
Se (0.9042, 0.6622, 0.5366)
Se (0.9083, 0.0259, 0.3405)
Se (0.9741, 0.6595, 0.0917)

Summary:
The total moment comes out at 0.00 μB/f.u. For the total energy, the calculation gives -121.16 eV for the cell shown. The formation energy from raw total energies comes out at -0.6029 eV per atom. The symmetry is R-3.


[7]
Density functional theory data (GGA-PBE) for K2InSe after structural relaxation.

Lattice parameters (Å, degrees): 8.2769 8.2769 8.2769 35.19 35.19 35.19
Fractional positions:
K (0.2247, 0.2247, 0.2247)
K (0.7753, 0.7753, 0.7753)
In (0.0000, 0.0000, 0.0000)
Se (0.5000, 0.5000, 0.5000)

Summary:
The total moment comes out at 0.00 μB/f.u. For the total energy, the calculation gives -9.92 eV for the cell shown. The formation energy from raw total energies comes out at -0.3761 eV per atom. The symmetry is R-3m.


[8]
Density functional theory data (GGA-PBE) for KInSe2 after structural relaxation.

Lattice parameters (Å, degrees): 5.8509 5.8509 3.0963 90.00 90.00 90.00
Fractional positions:
K (0.0000, 0.0000, 0.0000)
In (0.5000, 0.5000, 0.5000)
Se (0.0000, 0.5000, 0.5000)
Se (0.5000, 0.0000, 0.5000)

Summary:
The total moment comes out at 0.00 μB/f.u. For the total energy, the calculation gives -12.87 eV for the cell shown. The formation energy from raw total energies comes out at -0.5170 eV per atom. The symmetry is P4/mmm.


[9]
Density functional theory data (GGA-PBE) for K2In2Se after structural relaxation.

Lattice parameters (Å, degrees): 8.5344 8.5344 8.5344 146.94 146.94 47.45
Fractional positions:
K (0.2500, 0.7500, 0.5000)
K (0.7500, 0.2500, 0.5000)
In (0.0861, 0.0861, 0.0000)
In (0.9139, 0.9139, 0.0000)
Se (0.5000, 0.5000, 0.0000)

Summary:
The total moment comes out at 0.00 μB/f.u. For the total energy, the calculation gives -10.82 eV for the cell shown. The formation energy from raw total energies comes out at 0.0682 eV per atom. The symmetry is I4/mmm.


[10]
Density functional theory data (GGA-PBE) for KInSe2 after structural relaxation.

Lattice parameters (Å, degrees): 5.3718 5.3718 5.3718 60.00 60.00 60.00
Fractional positions:
K (0.0000, 0.0000, 0.0000)
In (0.7500, 0.7500, 0.7500)
Se (0.2500, 0.2500, 0.2500)
Se (0.5000, 0.5000, 0.5000)

Summary:
The total moment comes out at 0.00 μB/f.u. For the total energy, the calculation gives -11.30 eV for the cell shown. The formation energy from raw total energies comes out at -0.1234 eV per atom. The symmetry is F-43m.


[11]
Density functional theory data (GGA-PBE) for KIn2Se2 after structural relaxation.

Lattice parameters (Å, degrees): 8.1696 8.1696 6.6613 110.46 110.46 111.00
Fractional positions:
K (0.2212, 0.7788, 0.0000)
K (0.7788, 0.2212, 0.0000)
In (0.2520, 0.2520, 0.7176)
In (0.3808, 0.6192, 0.5000)
In (0.6192, 0.3808, 0.5000)
In (0.7480, 0.7480, 0.2824)
Se (0.1823, 0.8177, 0.5000)
Se (0.2146, 0.2146, 0.1242)
Se (0.7854, 0.7854, 0.8758)
Se (0.8177, 0.1823, 0.5000)

Summary:
The total moment comes out at 0.00 μB/f.u. For the total energy, the calculation gives -31.87 eV for the cell shown. The formation energy from raw total energies comes out at -0.4787 eV per atom. The symmetry is C2/m.


[12]
Density functional theory data (GGA-PBE) for K6InSe4 after structural relaxation.

Lattice parameters (Å, degrees): 10.6426 10.6426 8.0634 90.00 90.00 120.00
Fractional positions:
K (0.0593, 0.5297, 0.0000)
K (0.1438, 0.2876, 0.3282)
K (0.1438, 0.8562, 0.3282)
K (0.2876, 0.1438, 0.8282)
K (0.4703, 0.5297, 0.0000)
K (0.4703, 0.9407, 0.0000)
K (0.5297, 0.0593, 0.5000)
K (0.5297, 0.4703, 0.5000)
K (0.7124, 0.8562, 0.3282)
K (0.8562, 0.1438, 0.8282)
K (0.8562, 0.7124, 0.8282)
K (0.9407, 0.4703, 0.5000)
In (0.3333, 0.6667, 0.6214)
In (0.6667, 0.3333, 0.1214)
Se (0.1897, 0.3794, 0.7240)
Se (0.1897, 0.8103, 0.7240)
Se (0.3333, 0.6667, 0.2768)
Se (0.3794, 0.1897, 0.2240)
Se (0.6206, 0.8103, 0.7240)
Se (0.6667, 0.3333, 0.7768)
Se (0.8103, 0.1897, 0.2240)
Se (0.8103, 0.6206, 0.2240)

Summary:
The total moment comes out at 0.00 μB/f.u. For the total energy, the calculation gives -68.89 eV for the cell shown. The formation energy from raw total energies comes out at -1.0166 eV per atom. The symmetry is P6_3mc.


[13]
Density functional theory data (GGA-PBE) for KInSe2 after structural relaxation.

Lattice parameters (Å, degrees): 7.8085 7.8085 7.8085 149.55 149.55 43.61
Fractional positions:
K (0.0000, 0.0000, 0.0000)
In (0.2500, 0.7500, 0.5000)
Se (0.3645, 0.3645, 0.0000)
Se (0.6355, 0.6355, 0.0000)

Summary:
The total moment comes out at 0.00 μB/f.u. For the total energy, the calculation gives -14.30 eV for the cell shown. The formation energy from raw total energies comes out at -0.8727 eV per atom. The symmetry is I-4m2.


[14]
Density functional theory data (GGA-PBE) for K2InSe after structural relaxation.

Lattice parameters (Å, degrees): 3.9435 3.9435 10.0448 90.00 90.00 91.14
Fractional positions:
K (0.0000, 0.0000, 0.0000)
K (0.5000, 0.5000, 0.4059)
In (0.0000, 0.0000, 0.6566)
Se (0.5000, 0.5000, 0.7861)

Summary:
The total moment comes out at 0.00 μB/f.u. For the total energy, the calculation gives -10.20 eV for the cell shown. The formation energy from raw total energies comes out at -0.4444 eV per atom. The symmetry is Cmm2.


[15]
Density functional theory data (GGA-PBE) for K2InSe2 after structural relaxation.

Lattice parameters (Å, degrees): 8.1352 8.1352 4.7292 90.00 90.00 90.00
Fractional positions:
K (0.1339, 0.3661, 0.0000)
K (0.3661, 0.8661, 0.0000)
K (0.6339, 0.1339, 0.0000)
K (0.8661, 0.6339, 0.0000)
In (0.0000, 0.0000, 0.5000)
In (0.5000, 0.5000, 0.5000)
Se (0.1831, 0.6831, 0.5000)
Se (0.3169, 0.1831, 0.5000)
Se (0.6831, 0.8169, 0.5000)
Se (0.8169, 0.3169, 0.5000)

Summary:
The total moment comes out at 0.00 μB/f.u. For the total energy, the calculation gives -31.06 eV for the cell shown. The formation energy from raw total energies comes out at -0.7257 eV per atom. The symmetry is P4/mbm.


[16]
Density functional theory data (GGA-PBE) for KInSe2 after structural relaxation.

Lattice parameters (Å, degrees): 8.2558 8.2558 15.9593 97.43 97.43 89.97
Fractional positions:
K (0.1537, 0.7804, 0.6137)
K (0.2196, 0.8463, 0.8863)
K (0.2207, 0.3440, 0.8814)
K (0.3440, 0.2207, 0.3814)
K (0.6560, 0.7793, 0.6186)
K (0.7793, 0.6560, 0.1186)
K (0.7804, 0.1537, 0.1137)
K (0.8463, 0.2196, 0.3863)
In (0.0877, 0.7109, 0.3438)
In (0.2891, 0.4156, 0.1564)
In (0.2891, 0.9123, 0.1562)
In (0.4156, 0.2891, 0.6564)
In (0.5844, 0.7109, 0.3436)
In (0.7109, 0.0877, 0.8438)
In (0.7109, 0.5844, 0.8436)
In (0.9123, 0.2891, 0.6562)
Se (0.0488, 0.4247, 0.2498)
Se (0.0496, 0.9504, 0.2500)
Se (0.1388, 0.2625, 0.5542)
Se (0.2625, 0.1388, 0.0542)
Se (0.2636, 0.6380, 0.0531)
Se (0.3620, 0.7364, 0.4469)
Se (0.4244, 0.5756, 0.7500)
Se (0.4247, 0.0488, 0.7498)
Se (0.5753, 0.9512, 0.2502)
Se (0.5756, 0.4244, 0.2500)
Se (0.6380, 0.2636, 0.5531)
Se (0.7364, 0.3620, 0.9469)
Se (0.7375, 0.8612, 0.9458)
Se (0.8612, 0.7375, 0.4458)
Se (0.9504, 0.0496, 0.7500)
Se (0.9512, 0.5753, 0.7502)

Summary:
The total moment comes out at 0.00 μB/f.u. For the total energy, the calculation gives -115.75 eV for the cell shown. The formation energy from raw total energies comes out at -0.9160 eV per atom. The symmetry is C2/c.


[17]
Density functional theory data (GGA-PBE) for KInSe2 after structural relaxation.

Lattice parameters (Å, degrees): 7.1600 7.1600 7.1600 116.13 116.13 96.85
Fractional positions:
K (0.0000, 0.0000, 0.0000)
K (0.7500, 0.2500, 0.5000)
In (0.2500, 0.7500, 0.5000)
In (0.5000, 0.5000, 0.0000)
Se (0.1943, 0.6250, 0.0693)
Se (0.3750, 0.4443, 0.5693)
Se (0.5557, 0.1250, 0.9307)
Se (0.8750, 0.8057, 0.4307)

Summary:
The total moment comes out at 0.00 μB/f.u. For the total energy, the calculation gives -28.72 eV for the cell shown. The formation energy from raw total energies comes out at -0.8884 eV per atom. The symmetry is I-42d.


[18]
Density functional theory data (GGA-PBE) for K5In2Se5 after structural relaxation.

Lattice parameters (Å, degrees): 7.8030 7.8030 12.5281 106.26 106.26 33.68
Fractional positions:
K (0.0000, 0.0000, 0.0000)
K (0.1602, 0.1602, 0.5640)
K (0.2576, 0.2576, 0.8641)
K (0.7424, 0.7424, 0.1359)
K (0.8398, 0.8398, 0.4360)
In (0.4617, 0.4617, 0.7037)
In (0.5383, 0.5383, 0.2963)
Se (0.1512, 0.1512, 0.2941)
Se (0.3944, 0.3944, 0.1190)
Se (0.5000, 0.5000, 0.5000)
Se (0.6056, 0.6056, 0.8810)
Se (0.8488, 0.8488, 0.7059)

Summary:
The total moment comes out at 0.00 μB/f.u. For the total energy, the calculation gives -39.75 eV for the cell shown. The formation energy from raw total energies comes out at -0.9469 eV per atom. The symmetry is C2/m.


[19]
Density functional theory data (GGA-PBE) for K2In2Se3 after structural relaxation.

Lattice parameters (Å, degrees): 8.2853 8.2853 7.8021 112.20 112.20 31.32
Fractional positions:
K (0.1074, 0.1074, 0.3549)
K (0.8926, 0.8926, 0.6451)
In (0.3339, 0.3339, 0.1942)
In (0.6661, 0.6661, 0.8058)
Se (0.2813, 0.2813, 0.8065)
Se (0.5000, 0.5000, 0.5000)
Se (0.7187, 0.7187, 0.1935)

Summary:
The total moment comes out at 0.00 μB/f.u. For the total energy, the calculation gives -23.61 eV for the cell shown. The formation energy from raw total energies comes out at -0.7830 eV per atom. The symmetry is C2/m.


[20]
Density functional theory data (GGA-PBE) for K2In2Se after structural relaxation.

Lattice parameters (Å, degrees): 7.8542 7.8542 5.7998 90.00 90.00 90.00
Fractional positions:
K (0.1835, 0.3165, 0.0000)
K (0.3165, 0.8165, 0.0000)
K (0.6835, 0.1835, 0.0000)
K (0.8165, 0.6835, 0.0000)
In (0.1310, 0.6310, 0.5000)
In (0.3690, 0.1310, 0.5000)
In (0.6310, 0.8690, 0.5000)
In (0.8690, 0.3690, 0.5000)
Se (0.0000, 0.0000, 0.5000)
Se (0.5000, 0.5000, 0.5000)

Summary:
The total moment comes out at 0.00 μB/f.u. For the total energy, the calculation gives -24.94 eV for the cell shown. The formation energy from raw total energies comes out at -0.2627 eV per atom. The symmetry is P4/mbm.